DFT (PBE) results for Ho5AgTe2 after structural relaxation.

Output
E_tot, eV per atom: -4.484
E_form (uncorrected), meV/atom: -481

Cell: 5.9047 12.8014 12.7433 Å, 90.00 90.00 90.00°
Space group Cmcm (No. 63)
Symmetry-distinct sites (fractional):
Ho (0.0000, 0.0496, 0.1131) x8
Ho (0.0000, 0.3752, 0.7500) x4
Ho (0.0000, 0.3877, 0.0684) x8
Ag (0.0000, 0.2381, 0.2500) x4
Te (0.0000, 0.1922, 0.5881) x8

---

DFT (PBE) results for PrSi3Pd after structural relaxation.

Output
E_tot, eV per atom: -5.625
E_form (uncorrected), meV/atom: -377

Cell: 4.6393 14.2455 5.6715 Å, 90.00 90.00 90.00°
Space group Cmcm (No. 63)
Symmetry-distinct sites (fractional):
Pr (0.0000, 0.0908, 0.2500) x4
Si (0.0000, 0.1299, 0.7500) x4
Si (0.0000, 0.2829, 0.5298) x8
Pd (0.0000, 0.4220, 0.2500) x4

---

DFT (PBE) results for Np2Ta3Si4 after structural relaxation.

Output
E_tot, eV per atom: -9.719
E_form (uncorrected), meV/atom: -482

Cell: 7.0141 7.0197 6.8647 Å, 90.00 109.51 90.00°
Space group P2_1/c (No. 14)
Symmetry-distinct sites (fractional):
Np (0.1807, 0.1630, 0.0607) x4
Ta (0.2525, 0.6758, 0.2488) x4
Ta (0.5000, 0.0000, 0.5000) x2
Si (0.0837, 0.5375, 0.8682) x4
Si (0.4903, 0.1282, 0.8691) x4

---

DFT (PBE) results for LiYIO2 after structural relaxation.

Output
Energy relative to the lowest polymorph listed for this composition, meV/atom: 0.0
E_tot, eV per atom: -5.602
E_form (uncorrected), meV/atom: -1633

Cell: 4.3121 4.3121 6.5485 Å, 90.00 90.00 90.00°
Space group P4/mmm (No. 123)
Symmetry-distinct sites (fractional):
Li (0.0000, 0.0000, 0.0000) x1
Y (0.5000, 0.5000, 0.5000) x1
I (0.5000, 0.5000, 0.0000) x1
O (0.0000, 0.5000, 0.5000) x2

---

DFT (PBE) results for Te2RhW after structural relaxation.

Output
Energy relative to the lowest polymorph listed for this composition, meV/atom: 85.2
E_tot, eV per atom: -6.430
E_form (uncorrected), meV/atom: 217

Cell: 3.8049 3.9432 14.1262 Å, 90.00 90.00 90.00°
Space group Immm (No. 71)
Symmetry-distinct sites (fractional):
Te (0.0000, 0.0000, 0.1380) x4
Rh (0.0000, 0.5000, 0.5000) x2
W (0.0000, 0.5000, 0.0000) x2

---

DFT (PBE) results for Li3PdO3 after structural relaxation.

Output
Energy relative to the lowest polymorph listed for this composition, meV/atom: 146.2
E_tot, eV per atom: -4.772
E_form (uncorrected), meV/atom: -1085

Cell: 5.9379 9.1485 6.0949 Å, 90.00 110.09 90.00°
Space group C2/m (No. 12)
Symmetry-distinct sites (fractional):
Li (0.0000, 0.2144, 0.0000) x4
Li (0.0000, 0.2484, 0.5000) x4
Li (0.2443, 0.0000, 0.9194) x4
Pd (0.2392, 0.5000, 0.4951) x4
O (0.1306, 0.0000, 0.1744) x4
O (0.1824, 0.3399, 0.2653) x8

---

DFT (PBE) results for TeRh2 after structural relaxation.

Output
Energy relative to the lowest polymorph listed for this composition, meV/atom: 363.9
E_tot, eV per atom: -5.754
E_form (uncorrected), meV/atom: 194

Cell: 3.2875 3.2875 20.1460 Å, 90.00 90.00 90.00°
Space group I4_1/amd (No. 141, origin choice 2)
Symmetry-distinct sites (fractional):
Te (0.0000, 0.2500, 0.3750) x4
Rh (0.0000, 0.2500, 0.8037) x8

---

DFT (PBE) results for ReHg4Cl after structural relaxation.

Output
E_tot, eV per atom: -1.646
E_form (uncorrected), meV/atom: 938

Cell: 8.4757 8.4757 8.4757 Å, 90.00 90.00 90.00°
Space group F-43m (No. 216)
Symmetry-distinct sites (fractional):
Re (0.0000, 0.0000, 0.0000) x4
Hg (0.1250, 0.1250, 0.3750) x16
Cl (0.2500, 0.2500, 0.7500) x4